(1)
A relaxed MgHRh2 crystal. Source: Alexandria, functional GGA-PBE.

```
4
Lattice="2.8011 0.0000 0.0000 0.0000 2.8011 0.0000 0.0000 0.0000 6.2193" Properties=species:S:1:pos:R:3 pbc="T T T"
Mg 0.0000 0.0000 0.0000
H 0.0000 0.0000 3.1097
Rh 1.4005 1.4005 1.8543
Rh 1.4005 1.4005 4.3650
```

## Properties
V in Å³/cell: 48.8
Space group: P4/mmm, No. 123
E above lowest polymorph in meV per atom: 291
Spin magnetization in μB per formula unit: 0.02


(2)
A relaxed Mg2HRh crystal. Source: Alexandria, functional GGA-PBE.

```
4
Lattice="4.5625 0.0000 0.0000 0.0000 4.5625 0.0000 0.0000 0.0000 3.2428" Properties=species:S:1:pos:R:3 pbc="T T T"
Mg 0.0000 2.2813 0.0000
Mg 2.2813 0.0000 0.0000
H 0.0000 0.0000 0.0000
Rh 0.0000 0.0000 1.6214
```

## Properties
V in Å³/cell: 67.5
Space group: P4/mmm, No. 123
E above lowest polymorph in meV per atom: 150
Spin magnetization in μB per formula unit: 0.00


(3)
A relaxed Mg3H9Rh2 crystal. Source: Alexandria, functional GGA-PBE.

```
28
Lattice="3.8474 2.2213 4.8357 -3.8474 2.2213 4.8357 0.0000 -4.4426 4.8357" Properties=species:S:1:pos:R:3 pbc="T T T"
Mg -1.2823 -2.2213 6.0446
Mg -2.5649 -0.0001 8.4624
Mg -1.2826 2.2212 6.0446
Mg 1.2826 -2.2212 8.4624
Mg 2.5649 0.0001 6.0446
Mg 1.2823 2.2213 8.4624
H -2.5084 -2.2202 8.4089
H -3.1769 1.0622 6.0981
H -0.6069 -1.0511 3.6268
H -1.3391 0.0011 5.9911
H -0.6069 1.0511 3.6268
H 0.6686 -3.2824 6.0981
H 1.2138 0.0000 3.6268
H 0.6686 -1.1602 5.9911
H -0.6705 -1.1591 8.5159
H 0.6705 1.1591 5.9911
H -0.6686 1.1602 8.5159
H -1.2138 0.0000 10.8803
H -0.6686 3.2824 8.4089
H 0.6069 -1.0511 10.8803
H 1.3391 -0.0011 8.5159
H 0.6069 1.0511 10.8803
H 3.1769 -1.0622 8.4089
H 2.5084 2.2202 6.0981
Rh 0.0000 0.0000 2.2484
Rh 0.0000 0.0000 5.0051
Rh 0.0000 0.0000 9.5019
Rh 0.0000 0.0000 12.2586
```

## Properties
V in Å³/cell: 248.0
Space group: R-3c, No. 167
DFT total energy in eV per cell: -104.85
Spin magnetization in μB per formula unit: 0.00


(4)
A relaxed Mg2HRh crystal. Source: Alexandria, functional GGA-PBE.

```
4
Lattice="0.0000 3.0826 3.0826 3.0826 0.0000 3.0826 3.0826 3.0826 0.0000" Properties=species:S:1:pos:R:3 pbc="T T T"
Mg 1.5413 1.5413 1.5413
Mg 4.6239 4.6239 4.6239
H 0.0000 0.0000 0.0000
Rh 3.0826 3.0826 3.0826
```

## Properties
V in Å³/cell: 58.6
Space group: Fm-3m, No. 225
E above lowest polymorph in meV per atom: 526
Spin magnetization in μB per formula unit: 0.00


(5)
A relaxed MgH3Rh2 crystal. Source: Alexandria, functional GGA-PBE.

```
12
Lattice="2.5531 -4.7074 0.0000 2.5531 4.7074 0.0000 -1.7289 0.0000 4.7473" Properties=species:S:1:pos:R:3 pbc="T T T"
Mg 1.6886 3.5624 2.3736
Mg 2.5531 -3.5624 0.0000
H 0.3640 1.4330 3.2625
H 1.9773 0.7357 0.6570
H 1.2285 -1.4330 0.8889
H 1.1128 -0.7357 3.0307
H 3.5370 0.8788 2.4912
H 4.4014 -0.8788 0.1175
Rh 0.8876 2.2968 4.7382
Rh 1.8050 0.7480 2.4137
Rh 2.6694 -0.7480 0.0400
Rh 1.7521 -2.2968 2.3645
```

## Properties
V in Å³/cell: 114.1
Space group: Cc, No. 9
E above lowest polymorph in meV per atom: 0
Spin magnetization in μB per formula unit: 0.00


(6)
A relaxed MgHRh3 crystal. Source: Alexandria, functional GGA-PBE.

```
5
Lattice="5.0698 -1.3998 0.0000 5.0698 1.3998 0.0000 -2.2562 0.0000 4.3016" Properties=species:S:1:pos:R:3 pbc="T T T"
Mg 0.0000 0.0000 0.0000
H 7.5567 0.0000 2.0937
Rh 1.1456 0.0000 2.4401
Rh 3.8850 0.0000 2.1427
Rh 7.4377 0.0000 0.2286
```

## Properties
V in Å³/cell: 61.1
Space group: Cm, No. 8
E above lowest polymorph in meV per atom: 31
Spin magnetization in μB per formula unit: 0.00


(7)
A relaxed Mg2HRuRh crystal. Source: Alexandria, functional GGA-PBE.

```
5
Lattice="4.3844 0.0000 0.0000 0.0000 4.3844 0.0000 0.0000 0.0000 3.3608" Properties=species:S:1:pos:R:3 pbc="T T T"
Mg 0.0000 2.1922 0.0000
Mg 2.1922 0.0000 0.0000
H 0.0000 0.0000 0.0000
Ru 0.0000 0.0000 1.6804
Rh 2.1922 2.1922 1.6804
```

## Properties
V in Å³/cell: 64.6
Space group: P4/mmm, No. 123
DFT total energy in eV per cell: -24.05
Spin magnetization in μB per formula unit: 0.00


(8)
A relaxed Mg2H6RuRh crystal. Source: Alexandria, functional GGA-PBE.

```
10
Lattice="4.8599 0.0000 0.0000 -0.1265 4.8830 0.0000 -2.3622 -2.4418 3.5154" Properties=species:S:1:pos:R:3 pbc="T T T"
Mg 0.0000 0.0000 0.0000
Mg 0.0035 0.0013 3.4651
H -1.0151 -1.0231 1.7657
H 1.0166 1.0308 1.6988
H -0.0461 2.3989 3.5050
H 1.4194 3.3869 1.7500
H 3.3298 1.4850 1.7135
H 2.4101 0.0503 3.4749
Ru 2.4276 0.0005 1.7323
Rh -0.0620 2.4467 1.7322
```

## Properties
V in Å³/cell: 83.4
Space group: P1, No. 1
DFT total energy in eV per cell: -42.50
Spin magnetization in μB per formula unit: 0.00


(9)
A relaxed MgHRuRh2 crystal. Source: Alexandria, functional GGA-PBE.

```
5
Lattice="3.9674 0.0000 0.0000 0.0000 3.9674 0.0000 0.0000 0.0000 3.8877" Properties=species:S:1:pos:R:3 pbc="T T T"
Mg 0.0000 0.0000 0.0000
H 1.9837 1.9837 1.9438
Ru 1.9837 1.9837 0.0000
Rh 0.0000 1.9837 1.9438
Rh 1.9837 0.0000 1.9438
```

## Properties
V in Å³/cell: 61.2
Space group: P4/mmm, No. 123
DFT total energy in eV per cell: -29.34
Spin magnetization in μB per formula unit: 0.40


(10)
A relaxed Mg2SbHRh crystal. Source: Alexandria, functional GGA-PBE.

```
5
Lattice="4.6476 0.0000 0.0000 0.0000 4.6476 0.0000 0.0000 0.0000 3.6373" Properties=species:S:1:pos:R:3 pbc="T T T"
Mg 0.0000 2.3238 0.0000
Mg 2.3238 0.0000 0.0000
Sb 0.0000 0.0000 1.8186
H 2.3238 2.3238 0.0000
Rh 2.3238 2.3238 1.8186
```

## Properties
V in Å³/cell: 78.6
Space group: P4/mmm, No. 123
DFT total energy in eV per cell: -19.45
Spin magnetization in μB per formula unit: 0.00